# 1
Entry from Alexandria via LeMat-Bulk: crystalline Rb2Np2PS2 at its relaxed geometry (PBE).

a b c (Å): 9.1388 9.1388 9.1388
angles (deg): 146.86 146.86 47.56
Sites, in units of the cell vectors:
Rb1 0.1952 0.1952 0.0000
Rb2 0.8048 0.8048 0.0000
Np1 0.0000 0.5000 0.5000
Np2 0.5000 0.0000 0.5000
P1 0.0000 0.0000 0.0000
S1 0.3997 0.3997 0.0000
S2 0.6003 0.6003 0.0000

- formation energy from raw total energies (kcal/mol of atoms) = -15.10
- volume (Å³/f.u.) = 227.2
- final energy (eV/atom) = -6.581
- crystal system = tetragonal
- size of the total moment (μB per formula unit) = 8.61

---

# 2
Entry from Alexandria via LeMat-Bulk: crystalline Na5Np3I12 at its relaxed geometry (PBE).

a b c (Å): 16.1529 16.1529 16.1529
angles (deg): 109.47 109.47 109.47
Sites, in units of the cell vectors:
Na1 0.0000 0.0000 0.0000
Na2 0.0000 0.0000 0.5000
Na3 0.0000 0.5000 0.0000
Na4 0.0000 0.5000 0.5000
Na5 0.1250 0.7500 0.8750
Na6 0.1250 0.8750 0.2500
Na7 0.2500 0.1250 0.8750
Na8 0.2500 0.6250 0.3750
Na9 0.3750 0.2500 0.6250
Na10 0.3750 0.6250 0.7500
Na11 0.5000 0.0000 0.0000
Na12 0.5000 0.0000 0.5000
Na13 0.5000 0.5000 0.0000
Na14 0.5000 0.5000 0.5000
Na15 0.6250 0.3750 0.2500
Na16 0.6250 0.7500 0.3750
Na17 0.7500 0.3750 0.6250
Na18 0.7500 0.8750 0.1250
Na19 0.8750 0.1250 0.7500
Na20 0.8750 0.2500 0.1250
Np1 0.1250 0.2500 0.3750
Np2 0.1250 0.3750 0.7500
Np3 0.2500 0.3750 0.1250
Np4 0.2500 0.8750 0.6250
Np5 0.3750 0.1250 0.2500
Np6 0.3750 0.7500 0.1250
Np7 0.6250 0.2500 0.8750
Np8 0.6250 0.8750 0.7500
Np9 0.7500 0.1250 0.3750
Np10 0.7500 0.6250 0.8750
Np11 0.8750 0.6250 0.2500
Np12 0.8750 0.7500 0.6250
I1 0.0490 0.2238 0.1312
I2 0.0490 0.3252 0.9178
I3 0.0822 0.6312 0.4074
I4 0.0822 0.9510 0.6748
I5 0.0926 0.7238 0.6748
I6 0.0926 0.8688 0.4178
I7 0.1312 0.0490 0.2238
I8 0.1312 0.5822 0.9074
I9 0.1748 0.2238 0.5926
I10 0.1748 0.4510 0.5822
I11 0.2238 0.1312 0.0490
I12 0.2238 0.5926 0.1748
I13 0.2762 0.3252 0.9074
I14 0.2762 0.4510 0.3688
I15 0.3252 0.9074 0.2762
I16 0.3252 0.9178 0.0490
I17 0.3688 0.2762 0.4510
I18 0.3688 0.5926 0.9178
I19 0.4074 0.0822 0.6312
I20 0.4074 0.8252 0.7762
I21 0.4178 0.0926 0.8688
I22 0.4178 0.8252 0.5490
I23 0.4510 0.3688 0.2762
I24 0.4510 0.5822 0.1748
I25 0.5490 0.4178 0.8252
I26 0.5490 0.6312 0.7238
I27 0.5822 0.1748 0.4510
I28 0.5822 0.9074 0.1312
I29 0.5926 0.1748 0.2238
I30 0.5926 0.9178 0.3688
I31 0.6312 0.4074 0.0822
I32 0.6312 0.7238 0.5490
I33 0.6748 0.0822 0.9510
I34 0.6748 0.0926 0.7238
I35 0.7238 0.5490 0.6312
I36 0.7238 0.6748 0.0926
I37 0.7762 0.4074 0.8252
I38 0.7762 0.8688 0.9510
I39 0.8252 0.5490 0.4178
I40 0.8252 0.7762 0.4074
I41 0.8688 0.4178 0.0926
I42 0.8688 0.9510 0.7762
I43 0.9074 0.1312 0.5822
I44 0.9074 0.2762 0.3252
I45 0.9178 0.0490 0.3252
I46 0.9178 0.3688 0.5926
I47 0.9510 0.6748 0.0822
I48 0.9510 0.7762 0.8688

- formation energy from raw total energies (kcal/mol of atoms) = -20.08
- volume (Å³/f.u.) = 811.1
- final energy (eV/atom) = -4.072
- crystal system = cubic
- size of the total moment (μB per formula unit) = 14.00

---

# 3
Entry from Alexandria via LeMat-Bulk: crystalline LiCrTc at its relaxed geometry (PBE).

a b c (Å): 4.2096 4.2096 2.4872
angles (deg): 90.00 90.00 120.00
Sites, in units of the cell vectors:
Li1 0.0000 0.0000 0.0000
Cr1 0.6667 0.3333 0.3516
Tc1 0.3333 0.6667 0.6231

- energy above the lowest structure with this stoichiometry (meV/atom) = 37
- volume (Å³/f.u.) = 38.2
- final energy (eV/atom) = -7.080
- energy of formation from the pure elements (eV per formula unit) = 0.66
- crystal system = trigonal
- size of the total moment (μB per formula unit) = 0.00

---

# 4
Entry from Alexandria via LeMat-Bulk: crystalline LaAsN2Cl at its relaxed geometry (PBE).

a b c (Å): 4.1075 4.1075 4.7239
angles (deg): 90.00 90.00 90.00
Sites, in units of the cell vectors:
La1 0.0000 0.0000 0.0000
As1 0.5000 0.5000 0.5000
N1 0.0000 0.5000 0.5000
N2 0.5000 0.0000 0.5000
Cl1 0.5000 0.5000 0.0000

- formation energy from raw total energies (kcal/mol of atoms) = 1.60
- energy above the lowest structure with this stoichiometry (meV/atom) = 0
- volume (Å³/f.u.) = 79.7
- final energy (eV/atom) = -5.545
- crystal system = tetragonal
- size of the total moment (μB per formula unit) = 0.00

---

# 5
Entry from Alexandria via LeMat-Bulk: crystalline Th4Bi2Pb at its relaxed geometry (PBE).

a b c (Å): 6.1698 6.1698 17.5040
angles (deg): 90.00 90.00 135.82
Sites, in units of the cell vectors:
Th1 0.0000 0.0000 0.0000
Th2 0.0000 0.0000 0.5000
Th3 0.3398 0.6602 0.7500
Th4 0.3540 0.6460 0.1288
Th5 0.3540 0.6460 0.3712
Th6 0.6460 0.3540 0.6288
Th7 0.6460 0.3540 0.8712
Th8 0.6602 0.3398 0.2500
Bi1 0.3340 0.6660 0.5681
Bi2 0.3340 0.6660 0.9319
Bi3 0.6660 0.3340 0.0681
Bi4 0.6660 0.3340 0.4319
Pb1 0.0453 0.9547 0.7500
Pb2 0.9547 0.0453 0.2500

- volume (Å³/f.u.) = 232.2
- final energy (eV/atom) = -6.160
- energy of formation from the pure elements (eV per formula unit) = -1.97
- crystal system = orthorhombic
- size of the total moment (μB per formula unit) = 0.00

---

# 6
Entry from Alexandria via LeMat-Bulk: crystalline CoPd8Pt6 at its relaxed geometry (PBE).

a b c (Å): 6.8486 6.8486 6.8486
angles (deg): 64.79 64.79 64.79
Sites, in units of the cell vectors:
Co1 0.0000 0.0000 0.0000
Pd1 0.1433 0.4169 0.8297
Pd2 0.1703 0.8567 0.5831
Pd3 0.2527 0.2527 0.2527
Pd4 0.4169 0.8297 0.1433
Pd5 0.5831 0.1703 0.8567
Pd6 0.7473 0.7473 0.7473
Pd7 0.8297 0.1433 0.4169
Pd8 0.8567 0.5831 0.1703
Pt1 0.0671 0.6788 0.3642
Pt2 0.3212 0.6358 0.9329
Pt3 0.3642 0.0671 0.6788
Pt4 0.6358 0.9329 0.3212
Pt5 0.6788 0.3642 0.0671
Pt6 0.9329 0.3212 0.6358

- energy above the lowest structure with this stoichiometry (meV/atom) = 0
- volume (Å³/f.u.) = 250.9
- final energy (eV/atom) = -5.458
- energy of formation from the pure elements (eV per formula unit) = 3.03
- crystal system = trigonal
- size of the total moment (μB per formula unit) = 5.02

---

# 7
Entry from Alexandria via LeMat-Bulk: crystalline CsLa3Br8 at its relaxed geometry (PBE).

a b c (Å): 10.3040 10.3040 10.3040
angles (deg): 47.70 47.70 47.70
Sites, in units of the cell vectors:
Cs1 0.0000 0.0000 0.0000
La1 0.0000 0.0000 0.5000
La2 0.0000 0.5000 0.0000
La3 0.5000 0.0000 0.0000
Br1 0.2354 0.7299 0.7299
Br2 0.2377 0.2377 0.2377
Br3 0.2701 0.2701 0.7646
Br4 0.2701 0.7646 0.2701
Br5 0.7299 0.2354 0.7299
Br6 0.7299 0.7299 0.2354
Br7 0.7623 0.7623 0.7623
Br8 0.7646 0.2701 0.2701

- formation energy from raw total energies (kcal/mol of atoms) = -42.07
- volume (Å³/f.u.) = 547.8
- final energy (eV/atom) = -4.243
- crystal system = trigonal
- size of the total moment (μB per formula unit) = 2.05

---

# 8
Entry from Alexandria via LeMat-Bulk: crystalline DyTm2Au at its relaxed geometry (PBE).

a b c (Å): 6.3356 6.3356 7.8072
angles (deg): 90.00 90.00 134.92
Sites, in units of the cell vectors:
Dy1 0.0443 0.9557 0.7500
Dy2 0.9557 0.0443 0.2500
Tm1 0.3550 0.6450 0.5382
Tm2 0.3550 0.6450 0.9618
Tm3 0.6450 0.3550 0.0382
Tm4 0.6450 0.3550 0.4618
Au1 0.2064 0.7936 0.2500
Au2 0.7936 0.2064 0.7500

- energy above the lowest structure with this stoichiometry (meV/atom) = 38
- volume (Å³/f.u.) = 110.9
- final energy (eV/atom) = -4.627
- energy of formation from the pure elements (eV per formula unit) = -1.69
- crystal system = orthorhombic
- size of the total moment (μB per formula unit) = 0.00

---

# 9
Entry from Alexandria via LeMat-Bulk: crystalline PmScCdGe at its relaxed geometry (PBE).

a b c (Å): 5.0758 5.0758 5.0758
angles (deg): 60.00 60.00 60.00
Sites, in units of the cell vectors:
Pm1 0.0000 0.0000 0.0000
Sc1 0.5000 0.5000 0.5000
Cd1 0.7500 0.7500 0.7500
Ge1 0.2500 0.2500 0.2500

- volume (Å³/f.u.) = 92.5
- final energy (eV/atom) = -4.597
- energy of formation from the pure elements (eV per formula unit) = -1.77
- crystal system = cubic
- size of the total moment (μB per formula unit) = 0.00

---

# 10
Entry from Alexandria via LeMat-Bulk: crystalline K2LaZn at its relaxed geometry (PBE).

a b c (Å): 7.8097 7.8097 3.7874
angles (deg): 103.28 103.28 127.59
Sites, in units of the cell vectors:
K1 0.0000 0.5000 0.0000
K2 0.5000 0.0000 0.0000
La1 0.0000 0.0000 0.5000
Zn1 0.5000 0.5000 0.5000

- energy above the lowest structure with this stoichiometry (meV/atom) = 312
- volume (Å³/f.u.) = 156.3
- final energy (eV/atom) = -1.721
- energy of formation from the pure elements (eV per formula unit) = 1.51
- crystal system = monoclinic
- size of the total moment (μB per formula unit) = 0.01

---

# 11
Entry from Alexandria via LeMat-Bulk: crystalline PPbS2F at its relaxed geometry (PBE).

a b c (Å): 5.2356 5.2356 5.4502
angles (deg): 90.00 90.00 90.00
Sites, in units of the cell vectors:
P1 0.0000 0.0000 0.0000
Pb1 0.0000 0.0000 0.5000
S1 0.0000 0.5000 0.5000
S2 0.5000 0.0000 0.5000
F1 0.5000 0.5000 0.0000

- formation energy from raw total energies (kcal/mol of atoms) = 21.56
- energy above the lowest structure with this stoichiometry (meV/atom) = 566
- volume (Å³/f.u.) = 149.4
- final energy (eV/atom) = -2.914
- crystal system = tetragonal
- size of the total moment (μB per formula unit) = 3.31

---

# 12
Entry from Alexandria via LeMat-Bulk: crystalline Ti3TeIr at its relaxed geometry (PBE).

a b c (Å): 4.8031 4.8031 4.8031
angles (deg): 90.00 90.00 90.00
Sites, in units of the cell vectors:
Ti1 0.0000 0.0000 0.5000
Ti2 0.0000 0.5000 0.0000
Ti3 0.5000 0.0000 0.0000
Te1 0.5000 0.5000 0.5000
Ir1 0.0000 0.0000 0.0000

- formation energy from raw total energies (kcal/mol of atoms) = 0.89
- energy above the lowest structure with this stoichiometry (meV/atom) = 0
- volume (Å³/f.u.) = 110.8
- final energy (eV/atom) = -7.099
- crystal system = cubic
- size of the total moment (μB per formula unit) = 0.00

---

# 13
Entry from Alexandria via LeMat-Bulk: crystalline Cs2AcBr5 at its relaxed geometry (PBE).

a b c (Å): 7.4209 7.4209 9.1838
angles (deg): 114.71 114.71 74.22
Sites, in units of the cell vectors:
Cs1 0.0000 0.0000 0.0000
Cs2 0.5126 0.5126 0.4099
Ac1 0.2645 0.2645 0.6864
Br1 0.0181 0.4451 0.4104
Br2 0.3849 0.9055 0.7889
Br3 0.4451 0.0181 0.4104
Br4 0.5131 0.5131 0.0154
Br5 0.9055 0.3849 0.7889

- formation energy from raw total energies (kcal/mol of atoms) = -42.60
- energy above the lowest structure with this stoichiometry (meV/atom) = 123
- volume (Å³/f.u.) = 414.5
- final energy (eV/atom) = -3.620
- crystal system = monoclinic
- size of the total moment (μB per formula unit) = 0.00

---

# 14
Entry from Alexandria via LeMat-Bulk: crystalline NaBr2Cl at its relaxed geometry (PBE).

a b c (Å): 8.0929 8.0929 8.0929
angles (deg): 33.70 33.70 33.70
Sites, in units of the cell vectors:
Na1 0.0000 0.0000 0.0000
Br1 0.3929 0.3929 0.3929
Br2 0.6071 0.6071 0.6071
Cl1 0.5000 0.5000 0.5000

- formation energy from raw total energies (kcal/mol of atoms) = -17.00
- energy above the lowest structure with this stoichiometry (meV/atom) = 0
- volume (Å³/f.u.) = 145.4
- final energy (eV/atom) = -2.365
- crystal system = trigonal
- size of the total moment (μB per formula unit) = 0.00

---

# 15
Entry from Alexandria via LeMat-Bulk: crystalline Ti2GeAu at its relaxed geometry (PBE).

a b c (Å): 5.7907 5.7907 5.7907
angles (deg): 103.42 103.42 122.41
Sites, in units of the cell vectors:
Ti1 0.1194 0.1250 0.4944
Ti2 0.3750 0.8806 0.0056
Ti3 0.6306 0.6250 0.5056
Ti4 0.8750 0.3694 0.9944
Ge1 0.0000 0.0000 0.0000
Ge2 0.7500 0.2500 0.5000
Au1 0.2500 0.7500 0.5000
Au2 0.5000 0.5000 0.0000

- volume (Å³/f.u.) = 71.8
- final energy (eV/atom) = -6.058
- energy of formation from the pure elements (eV per formula unit) = -0.55
- crystal system = tetragonal
- size of the total moment (μB per formula unit) = 0.00

---

# 16
Entry from Alexandria via LeMat-Bulk: crystalline Pa2Ni2Se5 at its relaxed geometry (PBE).

a b c (Å): 9.6088 9.6088 9.6088
angles (deg): 60.39 133.93 143.16
Sites, in units of the cell vectors:
Pa1 0.0560 0.1034 0.1594
Pa2 0.0560 0.3966 0.4526
Pa3 0.9440 0.6034 0.5474
Pa4 0.9440 0.8966 0.8406
Ni1 0.2273 0.5386 0.1887
Ni2 0.3498 0.0386 0.8113
Ni3 0.4580 0.4580 0.0000
Ni4 0.4580 0.9580 0.5000
Se1 0.0480 0.6715 0.8765
Se2 0.3956 0.1217 0.5670
Se3 0.3956 0.3286 0.7740
Se4 0.4913 0.1986 0.2317
Se5 0.4913 0.7595 0.7926
Se6 0.5547 0.6217 0.2260
Se7 0.5547 0.8286 0.4330
Se8 0.7950 0.1715 0.1235
Se9 0.9669 0.2595 0.7683
Se10 0.9669 0.6986 0.2074

- formation energy from raw total energies (kcal/mol of atoms) = -20.45
- volume (Å³/f.u.) = 189.6
- final energy (eV/atom) = -6.218
- crystal system = orthorhombic
- size of the total moment (μB per formula unit) = 1.10

---

# 17
Entry from Alexandria via LeMat-Bulk: crystalline Ca8InSi2 at its relaxed geometry (PBE).

a b c (Å): 10.7133 10.7133 9.2562
angles (deg): 115.51 115.51 22.87
Sites, in units of the cell vectors:
Ca1 0.0002 0.0002 0.2072
Ca2 0.9998 0.9998 0.7928
Ca3 0.1410 0.1410 0.6412
Ca4 0.3231 0.3231 0.0073
Ca5 0.3230 0.3230 0.6384
Ca6 0.6770 0.6770 0.3616
Ca7 0.6769 0.6769 0.9927
Ca8 0.8590 0.8590 0.3588
In1 0.5000 0.5000 0.5000
Si1 0.2462 0.2462 0.2462
Si2 0.7538 0.7538 0.7538

- formation energy from raw total energies (kcal/mol of atoms) = -5.13
- volume (Å³/f.u.) = 370.8
- final energy (eV/atom) = -2.913
- crystal system = monoclinic
- size of the total moment (μB per formula unit) = 1.54

---

# 18
Entry from Alexandria via LeMat-Bulk: crystalline GeMoAsP2 at its relaxed geometry (PBE).

a b c (Å): 4.6131 4.6131 4.9732
angles (deg): 90.00 90.00 90.00
Sites, in units of the cell vectors:
Ge1 0.0000 0.0000 0.0000
Mo1 0.0000 0.0000 0.5000
As1 0.5000 0.5000 0.5000
P1 0.0000 0.5000 0.0000
P2 0.5000 0.0000 0.0000

- volume (Å³/f.u.) = 105.8
- final energy (eV/atom) = -4.841
- energy of formation from the pure elements (eV per formula unit) = 6.71
- crystal system = tetragonal
- size of the total moment (μB per formula unit) = 2.56

---

# 19
Entry from Alexandria via LeMat-Bulk: crystalline NiSeSN at its relaxed geometry (PBE).

a b c (Å): 3.6226 3.6226 6.5220
angles (deg): 91.36 91.36 67.83
Sites, in units of the cell vectors:
Ni1 0.0000 0.0000 0.0000
Se1 0.6412 0.6412 0.1106
S1 0.0062 0.0062 0.6785
N1 0.2195 0.2195 0.5671

- formation energy from raw total energies (kcal/mol of atoms) = 8.30
- energy above the lowest structure with this stoichiometry (meV/atom) = 158
- volume (Å³/f.u.) = 79.2
- final energy (eV/atom) = -5.070
- crystal system = monoclinic
- size of the total moment (μB per formula unit) = 0.00

---

# 20
Entry from Alexandria via LeMat-Bulk: crystalline Ac2SmGd at its relaxed geometry (PBE).

a b c (Å): 5.4459 5.4459 5.2024
angles (deg): 90.00 90.00 90.00
Sites, in units of the cell vectors:
Ac1 0.0000 0.5000 0.0000
Ac2 0.5000 0.0000 0.0000
Sm1 0.0000 0.0000 0.5000
Gd1 0.5000 0.5000 0.5000

- energy above the lowest structure with this stoichiometry (meV/atom) = 0
- volume (Å³/f.u.) = 154.3
- final energy (eV/atom) = -6.722
- energy of formation from the pure elements (eV per formula unit) = 0.13
- crystal system = tetragonal
- size of the total moment (μB per formula unit) = 7.44

---

| no. | ρ (kg/m3) |
| --- | --- |
| 1 | 5410 |
| 2 | 4809 |
| 3 | 6827 |
| 4 | 5777 |
| 5 | 11109 |
| 6 | 13770 |
| 7 | 3604 |
| 8 | 10437 |
| 9 | 6734 |
| 10 | 3001 |
| 11 | 3571 |
| 12 | 6945 |
| 13 | 3575 |
| 14 | 2493 |
| 15 | 8446 |
| 16 | 8532 |
| 17 | 2201 |
| 18 | 4792 |
| 19 | 3851 |
| 20 | 8197 |